Sr4TlPd2: optimized geometry, PBE.

Cell lengths 10.645, 10.645, 10.645 Å; angles 28.50, 28.50, 28.50 degrees
Element x y z (fractional)
Sr: 0.114 0.114 0.114
Sr: 0.296 0.296 0.296
Sr: 0.704 0.704 0.704
Sr: 0.886 0.886 0.886
Tl: 0.500 0.500 0.500
Pd: 0.406 0.406 0.406
Pd: 0.594 0.594 0.594

Values from the calculation:
formation energy: -0.399 eV/atom
density of states at the Fermi level: 5.5 states/eV/cell